# Ce2HfTaN4 PBE-GGA optimized geometry
data_Ce2HfTaN4
_cell_length_a 6.290
_cell_length_b 6.290
_cell_length_c 5.955
_cell_angle_alpha 90.00
_cell_angle_beta 90.00
_cell_angle_gamma 90.00
_symmetry_space_group_name_H-M 'I -4 2 m'
_symmetry_Int_Tables_number 121
_symmetry_space_group_name_Hall 'I -4 2'
loop_
_atom_site_label
_atom_site_type_symbol
_atom_site_fract_x
_atom_site_fract_y
_atom_site_fract_z
_atom_site_occupancy
Ce1 Ce 0.000 0.500 0.000 1
Hf1 Hf 0.000 0.000 0.000 1
Ta1 Ta 0.000 0.000 0.500 1
N1 N 0.166 0.166 0.266 1
# D(E_F) (states/eV/atom): 1.13
# Energy relative to the elements, uncorrected (meV per atom): -848
# Electronic total energy (eV for the cell shown): -147.51

# ZnW2Se PBE-GGA optimized geometry
data_ZnW2Se
_cell_length_a 2.9383
_cell_length_b 2.9383
_cell_length_c 25.6128
_cell_angle_alpha 90.00
_cell_angle_beta 90.00
_cell_angle_gamma 120.00
_symmetry_space_group_name_H-M 'R -3 m'
_symmetry_Int_Tables_number 166
_symmetry_space_group_name_Hall '-R 3 2"'
loop_
_atom_site_label
_atom_site_type_symbol
_atom_site_fract_x
_atom_site_fract_y
_atom_site_fract_z
_atom_site_occupancy
Zn1 Zn 0.0000 0.0000 0.0000 1
W1 W 0.0000 0.0000 0.2461 1
Se1 Se 0.0000 0.0000 0.5000 1
# Excess energy over the best structure of this formula in the dataset (kcal/mol of atoms): 4.07
# D(E_F) (states/eV/atom): 0.57
# Energy relative to the elements, uncorrected (meV per atom): 472
# Electronic total energy (eV for the cell shown): -86.33

# CsH3O3 PBE-GGA optimized geometry
data_CsH3O3
_cell_length_a 7.1650
_cell_length_b 7.1650
_cell_length_c 13.9417
_cell_angle_alpha 90.00
_cell_angle_beta 90.00
_cell_angle_gamma 120.00
_symmetry_space_group_name_H-M 'R -3'
_symmetry_Int_Tables_number 148
_symmetry_space_group_name_Hall '-R 3'
loop_
_atom_site_label
_atom_site_type_symbol
_atom_site_fract_x
_atom_site_fract_y
_atom_site_fract_z
_atom_site_occupancy
Cs1 Cs 0.0000 0.0000 0.1687 1
H1 H 0.0523 0.6022 0.3282 1
O1 O 0.0245 0.7182 0.3510 1
# D(E_F) (states/eV/atom): 0.17
# Electronic total energy (eV for the cell shown): -185.59

# PmHg2I8 PBE-GGA optimized geometry
data_PmHg2I8
_cell_length_a 12.477
_cell_length_b 12.737
_cell_length_c 7.399
_cell_angle_alpha 90.00
_cell_angle_beta 101.06
_cell_angle_gamma 90.00
_symmetry_space_group_name_H-M 'C 1 2/m 1'
_symmetry_Int_Tables_number 12
_symmetry_space_group_name_Hall '-C 2y'
loop_
_atom_site_label
_atom_site_type_symbol
_atom_site_fract_x
_atom_site_fract_y
_atom_site_fract_z
_atom_site_occupancy
Pm1 Pm 0.000 0.000 0.000 1
Hg1 Hg 0.215 0.000 0.675 1
I1 I 0.054 0.500 0.216 1
I2 I 0.101 0.176 0.789 1
I3 I 0.220 0.000 0.287 1
# D(E_F) (states/eV/atom): 0.14
# Energy relative to the elements, uncorrected (meV per atom): -601
# Electronic total energy (eV for the cell shown): -48.73

# KLiFe2 PBE-GGA optimized geometry
data_KLiFe2
_cell_length_a 2.823
_cell_length_b 5.762
_cell_length_c 10.656
_cell_angle_alpha 90.00
_cell_angle_beta 90.00
_cell_angle_gamma 90.00
_symmetry_space_group_name_H-M 'I m m 2'
_symmetry_Int_Tables_number 44
_symmetry_space_group_name_Hall 'I 2 -2'
loop_
_atom_site_label
_atom_site_type_symbol
_atom_site_fract_x
_atom_site_fract_y
_atom_site_fract_z
_atom_site_occupancy
K1 K 0.000 0.000 0.000 1
Li1 Li 0.000 0.500 0.803 1
Fe1 Fe 0.000 0.000 0.538 1
Fe2 Fe 0.000 0.500 0.204 1
# Excess energy over the best structure of this formula in the dataset (kcal/mol of atoms): 5.80
# D(E_F) (states/eV/atom): 0.74
# Formation energy (eV per formula unit): 3.18
# Electronic total energy (eV for the cell shown): -33.51

# PaTiCuTc PBE-GGA optimized geometry
data_PaTiCuTc
_cell_length_a 6.419
_cell_length_b 6.419
_cell_length_c 6.419
_cell_angle_alpha 90.00
_cell_angle_beta 90.00
_cell_angle_gamma 90.00
_symmetry_space_group_name_H-M 'F -4 3 m'
_symmetry_Int_Tables_number 216
_symmetry_space_group_name_Hall 'F -4 2 3'
loop_
_atom_site_label
_atom_site_type_symbol
_atom_site_fract_x
_atom_site_fract_y
_atom_site_fract_z
_atom_site_occupancy
Pa1 Pa 0.000 0.000 0.000 1
Ti1 Ti 0.250 0.250 0.750 1
Cu1 Cu 0.000 0.000 0.500 1
Tc1 Tc 0.250 0.250 0.250 1
# Excess energy over the best structure of this formula in the dataset (kcal/mol of atoms): 1.40
# D(E_F) (states/eV/atom): 1.28
# Formation energy (eV per formula unit): 0.01
# Electronic total energy (eV for the cell shown): -127.39

- Look up the electronic total energy of the fifth one.
  -33.51 eV for the cell shown

- What is the electronic total energy in the sixth record?
  -127.39 eV for the cell shown

- Among the records above, which one has the lowest electronic total energy?
  CsH3O3